# LiScMnF6

A relaxed LiScMnF6 crystal (PBE+U, Alexandria via LeMat-Bulk).

Output
E = -0.231 hartree per atom
Total magnetization = 0.556 μB per atom

Cell lengths 5.2377, 5.2377, 9.3933 Å; angles 90.00, 90.00, 120.00 degrees
Space group P-31c (No. 163)
Asymmetric unit:
Li 0.3333 0.6667 0.2500
Sc 0.3333 0.6667 0.7500
Mn 0.0000 0.0000 0.0000
F 0.0046 0.3413 0.6326

=====

# LiTbMnF6

A relaxed LiTbMnF6 crystal (PBE+U, Alexandria via LeMat-Bulk).

Output
E = -0.226 hartree per atom
Total magnetization = 0.556 μB per atom

Cell lengths 5.4500, 5.4500, 9.3817 Å; angles 90.00, 90.00, 120.00 degrees
Space group P-31c (No. 163)
Asymmetric unit:
Li 0.3333 0.6667 0.2500
Tb 0.3333 0.6667 0.7500
Mn 0.0000 0.0000 0.0000
F 0.0172 0.3383 0.1292

=====

# LiTiMnF6

A relaxed LiTiMnF6 crystal (PBE+U, Alexandria via LeMat-Bulk).

Output
Energy above the lowest structure with this stoichiometry = 0.0000 eV per atom
Total magnetization = 0.667 μB per atom

Cell lengths 8.8649, 8.8649, 4.7728 Å; angles 90.00, 90.00, 120.00 degrees
Space group P321 (No. 150)
Asymmetric unit:
Li 0.0000 0.0000 0.0000
Li 0.3333 0.6667 0.4966
Ti 0.0000 0.3119 0.5000
Mn 0.0000 0.6435 0.0000
F 0.1091 0.5307 0.7297
F 0.1100 0.2235 0.7630
F 0.2164 0.7777 0.2764

=====

# LiTiMnF6

A relaxed LiTiMnF6 crystal (PBE+U, Alexandria via LeMat-Bulk).

Output
Energy above the lowest structure with this stoichiometry = 0.3831 eV per atom
Total magnetization = 0.222 μB per atom

Cell lengths 5.2663, 5.2663, 9.0737 Å; angles 90.00, 90.00, 120.00 degrees
Space group P-31c (No. 163)
Asymmetric unit:
Li 0.0000 0.0000 0.0000
Ti 0.3333 0.6667 0.2500
Mn 0.3333 0.6667 0.7500
F 0.0131 0.3471 0.1314

=====

# Li2MnTl3F9

A relaxed Li2MnTl3F9 crystal (PBE+U, Alexandria via LeMat-Bulk).

Output
E = -0.169 hartree per atom
Total magnetization = 0.198 μB per atom

Cell lengths 6.0014, 6.0014, 7.5731 Å; angles 90.00, 90.00, 120.00 degrees
Space group P-3m1 (No. 164)
Asymmetric unit:
Li 0.3333 0.6667 0.0999
Mn 0.0000 0.0000 0.5000
Tl 0.0000 0.0000 0.0000
Tl 0.3333 0.6667 0.6956
F 0.0000 0.5000 0.0000
F 0.1453 0.2906 0.3581

=====

# LiMnTlF6

A relaxed LiMnTlF6 crystal (PBE+U, Alexandria via LeMat-Bulk).

Output
E = -0.181 hartree per atom
Total magnetization = 0.556 μB per atom

Cell lengths 4.975, 4.975, 10.008 Å; angles 90.00, 90.00, 90.00 degrees
Space group P4_2nm (No. 102)
Asymmetric unit:
Li 0.000 0.000 0.000
Mn 0.000 0.000 0.333
Tl 0.000 0.000 0.666
F 0.187 0.187 0.164
F 0.197 0.197 0.838
F 0.201 0.201 0.496

=====

# Li2MnTl2F6

A relaxed Li2MnTl2F6 crystal (PBE+U, Alexandria via LeMat-Bulk).

Output
E = -0.179 hartree per atom
Total magnetization = 0.455 μB per atom

Cell lengths 6.0548, 6.0548, 16.8278 Å; angles 90.00, 90.00, 120.00 degrees
Space group R-3m (No. 166, hexagonal axes)
Asymmetric unit:
Li 0.0000 0.0000 0.0903
Mn 0.0000 0.0000 0.5000
Tl 0.0000 0.0000 0.2891
F 0.0123 0.5061 0.2466

=====

# LiMn2Tl3F9

A relaxed LiMn2Tl3F9 crystal (PBE+U, Alexandria via LeMat-Bulk).

Output
E = -0.185 hartree per atom
Total magnetization = 0.600 μB per atom

Cell lengths 5.9578, 5.9578, 7.3234 Å; angles 90.00, 90.00, 120.00 degrees
Space group P-3m1 (No. 164)
Asymmetric unit:
Li 0.0000 0.0000 0.0000
Mn 0.3333 0.6667 0.6660
Tl 0.0000 0.0000 0.5000
Tl 0.3333 0.6667 0.1449
F 0.0000 0.5000 0.5000
F 0.1708 0.3416 0.8237

=====

# LiMn2TlF8

A relaxed LiMn2TlF8 crystal (PBE+U, Alexandria via LeMat-Bulk).

Output
E = -0.189 hartree per atom
Total magnetization = 0.667 μB per atom

Cell lengths 5.3633, 5.3633, 6.8846 Å; angles 90.00, 90.00, 120.00 degrees
Space group P-3 (No. 147)
Asymmetric unit:
Li 0.0000 0.0000 0.0000
Mn 0.3333 0.6667 0.1029
Tl 0.0000 0.0000 0.5000
F 0.0516 0.6927 0.8679
F 0.3333 0.6667 0.3663

=====

# Li2UMnF8

A relaxed Li2UMnF8 crystal (PBE+U, Alexandria via LeMat-Bulk).

Output
E = -0.214 hartree per atom
Total magnetization = 0.417 μB per atom

Cell lengths 4.8847, 4.8847, 6.7854 Å; angles 90.00, 90.00, 120.00 degrees
Space group P-3 (No. 147)
Asymmetric unit:
Li 0.3333 0.6667 0.2859
U 0.0000 0.0000 0.0000
Mn 0.0000 0.0000 0.5000
F 0.0239 0.7180 0.6902
F 0.3333 0.6667 0.0159

=====

# LiMnVF6

A relaxed LiMnVF6 crystal (PBE+U, Alexandria via LeMat-Bulk).

Output
Energy above the lowest structure with this stoichiometry = 0.0062 eV per atom
Total magnetization = 0.778 μB per atom

Cell lengths 4.811, 4.811, 9.557 Å; angles 90.00, 90.00, 90.00 degrees
Space group P4_2nm (No. 102)
Asymmetric unit:
Li 0.000 0.000 0.000
Mn 0.000 0.000 0.669
V 0.000 0.000 0.333
F 0.189 0.189 0.174
F 0.194 0.194 0.490
F 0.210 0.210 0.835

=====

# Li2MnVF6

A relaxed Li2MnVF6 crystal (PBE+U, Alexandria via LeMat-Bulk).

Output
E = -0.212 hartree per atom
Total magnetization = 0.800 μB per atom

Cell lengths 5.288, 5.288, 5.696 Å; angles 90.08, 117.57, 119.97 degrees
Space group P1 (No. 1)
Asymmetric unit:
Li 0.000 0.000 0.000
Li 0.013 0.505 0.522
Mn 0.585 0.792 0.379
V 0.594 0.296 0.892
F 0.085 0.380 0.172
F 0.089 0.204 0.676
F 0.466 0.086 0.173
F 0.468 0.883 0.675
F 0.790 0.584 0.675
F 0.790 0.706 0.171